Density functional theory data (PBE with a Hubbard U) for a relaxed structure of Mn2HSeO.

Cell and atoms, written as POSCAR:
```
Mn2HSeO
1.0
-3.2600 -1.0610 0.9491
0.4518 -5.8640 1.6180
1.1462 -0.1850 3.7330
Mn H Se O
2 1 1 1
Cartesian
-2.0512 -3.0212 3.0416
0.3739 -5.2681 2.1813
0.7073 -0.2058 2.3338
0.0644 -2.2771 4.4750
-1.5240 -4.8615 2.7860
```

Calculated values
For the energy above the most stable polymorph in this dataset, the calculation gives 4.7 kJ/mol of atoms. The space group is Cm. The value obtained for the total energy is -5.994 eV/atom.